Here is an optimized crystal structure of Sr2UTl2S6 from the Alexandria database. Energies are from GGA-PBE.

```
data_Sr2UTl2S6
_chemical_formula_sum 'Sr4 U2 Tl4 S12'
_symmetry_space_group_name_H-M 'C 1 2/m 1'
_symmetry_Int_Tables_number 12
_cell_length_a 7.381
_cell_length_b 12.491
_cell_length_c 7.737
_cell_angle_alpha 90.00
_cell_angle_beta 108.15
_cell_angle_gamma 90.00
loop_
_symmetry_equiv_pos_as_xyz
'x,y,z'
'-x,-y,-z'
'-x,y,-z'
'x,-y,z'
'x+1/2,y+1/2,z'
'-x+1/2,-y+1/2,-z'
'-x+1/2,y+1/2,-z'
'x+1/2,-y+1/2,z'
loop_
_atom_site_label
_atom_site_type_symbol
_atom_site_fract_x
_atom_site_fract_y
_atom_site_fract_z
_atom_site_occupancy
Sr1 Sr 0.000 0.165 0.000 1
U1 U 0.000 0.500 0.000 1
Tl1 Tl 0.000 0.333 0.500 1
S1 S 0.210 0.354 0.198 1
S2 S 0.217 0.500 0.793 1
```

ΔE_f (raw) in meV/atom: -1333

---

Here is an optimized crystal structure of Pr2HoBr from the Alexandria database. Energies are from GGA-PBE.

```
data_Pr2HoBr
_chemical_formula_sum 'Pr2 Ho1 Br1'
_symmetry_space_group_name_H-M 'P 4/m m m'
_symmetry_Int_Tables_number 123
_symmetry_space_group_name_Hall '-P 4 2'
_cell_length_a 3.618
_cell_length_b 3.618
_cell_length_c 9.724
_cell_angle_alpha 90.00
_cell_angle_beta 90.00
_cell_angle_gamma 90.00
loop_
_atom_site_label
_atom_site_type_symbol
_atom_site_fract_x
_atom_site_fract_y
_atom_site_fract_z
_atom_site_occupancy
Pr1 Pr 0.000 0.000 0.235 1
Ho1 Ho 0.500 0.500 0.500 1
Br1 Br 0.500 0.500 0.000 1
```

ΔE_f (raw) in meV/atom: -475
D(E_F) in states/eV/f.u.: 3.6

---

Here is an optimized crystal structure of SrLi2Mg2 from the Alexandria database. Energies are from GGA-PBE.

```
data_SrLi2Mg2
_chemical_formula_sum 'Sr2 Li4 Mg4'
_symmetry_space_group_name_H-M 'I 4/m m m'
_symmetry_Int_Tables_number 139
_symmetry_space_group_name_Hall '-I 4 2'
_cell_length_a 4.893
_cell_length_b 4.893
_cell_length_c 11.697
_cell_angle_alpha 90.00
_cell_angle_beta 90.00
_cell_angle_gamma 90.00
loop_
_atom_site_label
_atom_site_type_symbol
_atom_site_fract_x
_atom_site_fract_y
_atom_site_fract_z
_atom_site_occupancy
Sr1 Sr 0.000 0.000 0.000 1
Li1 Li 0.000 0.000 0.384 1
Mg1 Mg 0.000 0.500 0.250 1
```

E_form in eV per atom: 0.010
D(E_F) in states/eV/f.u.: 2.8

---

| no. | total magnetization (μB per formula unit) |
| --- | --- |
| 1 | 0.000 |
| 2 | 0.000 |
| 3 | 0.000 |